(1)
{"formula": "NaBePd3", "functional": "PBE", "state": "optimized geometry", "lattice": [[4.5650, 0.0000, 0.0000], [0.0000, 4.5650, 0.0000], [0.0000, 0.0000, 4.5650]], "species": ["Na", "Be", "Pd", "Pd", "Pd"], "fractional_positions": [[0.0000, 0.0000, 0.0000], [0.5000, 0.5000, 0.5000], [0.0000, 0.0000, 0.5000], [0.0000, 0.5000, 0.0000], [0.5000, 0.0000, 0.0000]], "magnetic_moment_mub_per_cell": 0.0, "e_form_ev_per_fu": 6.04, "relative_energy_ev_per_atom": 1.381, "volume_a3_per_atom": 19.03, "energy_ev_per_atom": -2.92}


(2)
{"formula": "In3Au13", "functional": "PBE", "state": "optimized geometry", "lattice": [[6.5221, 0.0000, 0.0000], [0.0000, 4.6500, 5.0043], [0.0000, -4.6500, 5.0043]], "species": ["In", "In", "In", "Au", "Au", "Au", "Au", "Au", "Au", "Au", "Au", "Au", "Au", "Au", "Au", "Au"], "fractional_positions": [[0.0000, 0.0000, 0.0000], [0.2546, 0.7204, 0.7204], [0.7454, 0.7204, 0.7204], [0.0000, 0.4192, 0.9147], [0.0000, 0.4778, 0.4778], [0.0000, 0.9147, 0.4192], [0.2480, 0.1558, 0.6696], [0.2480, 0.6696, 0.1558], [0.2549, 0.2385, 0.2385], [0.5000, 0.4087, 0.9131], [0.5000, 0.4789, 0.4789], [0.5000, 0.9131, 0.4087], [0.5000, 0.9814, 0.9814], [0.7451, 0.2385, 0.2385], [0.7520, 0.1558, 0.6696], [0.7520, 0.6696, 0.1558]], "magnetic_moment_mub_per_cell": 0.0, "e_form_ev_per_fu": -0.80, "relative_energy_ev_per_atom": 0.016, "volume_a3_per_atom": 18.97, "energy_ev_per_atom": -3.23}


(3)
{"formula": "LiTlHgCl4", "functional": "PBE", "state": "optimized geometry", "lattice": [[6.4941, 0.0000, 0.0000], [0.0000, 7.2973, 0.0000], [-1.4863, 0.0000, 8.3808]], "species": ["Li", "Li", "Tl", "Tl", "Hg", "Hg", "Cl", "Cl", "Cl", "Cl", "Cl", "Cl", "Cl", "Cl"], "fractional_positions": [[0.1830, 0.2500, 0.3180], [0.8170, 0.7500, 0.6820], [0.2754, 0.2500, 0.9292], [0.7246, 0.7500, 0.0708], [0.3025, 0.7500, 0.6207], [0.6975, 0.2500, 0.3793], [0.0366, 0.2500, 0.5579], [0.1118, 0.7500, 0.8870], [0.4218, 0.0076, 0.2767], [0.4218, 0.4924, 0.2767], [0.5782, 0.5076, 0.7233], [0.5782, 0.9924, 0.7233], [0.8882, 0.2500, 0.1130], [0.9634, 0.7500, 0.4421]], "magnetic_moment_mub_per_cell": 0.0, "raw_formation_energy_ev_per_fu": -7.22, "volume_a3_per_atom": 28.37, "energy_ev_per_atom": -2.74}


(4)
{"formula": "YPSe", "functional": "PBE", "state": "optimized geometry", "lattice": [[5.1980, -1.8248, 0.0000], [5.1980, 1.8248, 0.0000], [-2.6232, 0.0000, 7.6365]], "species": ["Y", "Y", "P", "P", "Se", "Se"], "fractional_positions": [[0.1454, 0.1454, 0.1774], [0.8546, 0.8546, 0.8226], [0.1956, 0.1956, 0.5402], [0.8044, 0.8044, 0.4598], [0.4102, 0.4102, 0.1312], [0.5898, 0.5898, 0.8688]], "magnetic_moment_mub_per_cell": 0.0, "raw_formation_energy_ev_per_fu": -3.68, "volume_a3_per_atom": 24.15, "energy_ev_per_atom": -6.35}


(5)
{"formula": "DyAg", "functional": "PBE", "state": "optimized geometry", "lattice": [[3.6860, 0.0000, 0.0000], [0.0000, 4.8334, 0.0000], [-1.8236, 0.0000, 5.5483]], "species": ["Dy", "Dy", "Ag", "Ag"], "fractional_positions": [[0.1430, 0.2500, 0.2870], [0.8570, 0.7500, 0.7130], [0.4208, 0.2500, 0.8399], [0.5792, 0.7500, 0.1601]], "magnetic_moment_mub_per_cell": 0.0, "e_form_ev_per_fu": -0.57, "volume_a3_per_atom": 24.71, "energy_ev_per_atom": -4.01}


(6)
{"formula": "Ba2SrRh", "functional": "PBE", "state": "optimized geometry", "lattice": [[6.2030, 0.0000, 0.0000], [0.0000, 4.4457, 0.0000], [-2.9915, 0.0000, 6.8685]], "species": ["Ba", "Ba", "Sr", "Rh"], "fractional_positions": [[0.1478, 0.0000, 0.2973], [0.8522, 0.0000, 0.7027], [0.5000, 0.5000, 0.0000], [0.0000, 0.5000, 0.0000]], "magnetic_moment_mub_per_cell": 0.0, "e_form_ev_per_fu": -0.55, "relative_energy_ev_per_atom": 0.063, "volume_a3_per_atom": 47.35, "energy_ev_per_atom": -3.36}


(7)
{"formula": "NaAc2Br8", "functional": "PBE", "state": "optimized geometry", "lattice": [[9.5680, -2.3515, 0.0000], [9.5680, 2.3515, 0.0000], [-0.8599, 0.0000, 8.3053]], "species": ["Na", "Ac", "Ac", "Br", "Br", "Br", "Br", "Br", "Br", "Br", "Br"], "fractional_positions": [[0.0000, 0.0000, 0.0000], [0.3134, 0.3134, 0.2704], [0.6866, 0.6866, 0.7296], [0.1001, 0.1001, 0.5577], [0.1744, 0.1744, 0.9943], [0.2934, 0.2934, 0.6538], [0.4745, 0.4745, 0.1841], [0.5255, 0.5255, 0.8159], [0.7066, 0.7066, 0.3462], [0.8256, 0.8256, 0.0057], [0.8999, 0.8999, 0.4423]], "magnetic_moment_mub_per_cell": 0.9, "raw_formation_energy_ev_per_fu": -18.73, "volume_a3_per_atom": 33.98, "energy_ev_per_atom": -3.79}


(8)
{"formula": "Pr4SnSe2S", "functional": "PBE", "state": "optimized geometry", "lattice": [[-4.3017, 4.3299, 6.1102], [4.3017, -4.3299, 6.1102], [4.3017, 4.3299, -6.1102]], "species": ["Pr", "Pr", "Pr", "Pr", "Pr", "Pr", "Pr", "Pr", "Sn", "Sn", "Se", "Se", "Se", "Se", "S", "S"], "fractional_positions": [[0.2545, 0.2477, 0.4932], [0.2545, 0.7613, 0.0068], [0.2578, 0.2477, 0.0102], [0.2625, 0.7523, 0.5102], [0.7375, 0.2477, 0.4898], [0.7422, 0.7523, 0.9898], [0.7455, 0.2387, 0.9932], [0.7455, 0.7523, 0.5068], [0.0000, 0.5000, 0.5000], [0.5000, 0.5000, 0.0000], [0.0000, 0.0000, 0.0000], [0.0000, 0.0000, 0.5000], [0.0000, 0.5000, 0.0000], [0.5000, 0.0000, 0.5000], [0.5000, 0.0000, 0.0000], [0.5000, 0.5000, 0.5000]], "magnetic_moment_mub_per_cell": 0.0, "raw_formation_energy_ev_per_fu": -12.80, "volume_a3_per_atom": 28.45, "energy_ev_per_atom": -5.88}


(9)
{"formula": "NiHS2", "functional": "PBE", "state": "optimized geometry", "lattice": [[3.5074, 0.0000, 0.0000], [0.0000, 5.0405, 0.0000], [0.0000, 0.0000, 5.7599]], "species": ["Ni", "Ni", "H", "H", "S", "S", "S", "S"], "fractional_positions": [[0.0000, 0.2452, 0.0000], [0.5000, 0.7548, 0.5000], [0.0000, 0.2904, 0.4852], [0.5000, 0.7096, 0.9852], [0.0000, 0.5239, 0.3370], [0.0000, 0.9772, 0.6604], [0.5000, 0.0228, 0.1604], [0.5000, 0.4761, 0.8370]], "magnetic_moment_mub_per_cell": 0.0, "relative_energy_ev_per_atom": 0.000, "volume_a3_per_atom": 12.73, "energy_ev_per_atom": -4.52}


(10)
{"formula": "Ba2Ca2Mg15", "functional": "PBE", "state": "optimized geometry", "lattice": [[5.4611, 3.1530, 5.2424], [-5.4611, 3.1530, 5.2424], [0.0000, -6.3060, 5.2424]], "species": ["Ba", "Ba", "Ca", "Ca", "Mg", "Mg", "Mg", "Mg", "Mg", "Mg", "Mg", "Mg", "Mg", "Mg", "Mg", "Mg", "Mg", "Mg", "Mg"], "fractional_positions": [[0.1562, 0.1562, 0.1562], [0.8438, 0.8438, 0.8438], [0.3960, 0.3960, 0.3960], [0.6040, 0.6040, 0.6040], [0.0000, 0.5000, 0.5000], [0.1491, 0.1491, 0.6595], [0.1491, 0.6595, 0.1491], [0.2015, 0.5000, 0.7985], [0.2015, 0.7985, 0.5000], [0.3405, 0.8509, 0.8509], [0.5000, 0.0000, 0.5000], [0.5000, 0.2015, 0.7985], [0.5000, 0.5000, 0.0000], [0.5000, 0.7985, 0.2015], [0.6595, 0.1491, 0.1491], [0.7985, 0.2015, 0.5000], [0.7985, 0.5000, 0.2015], [0.8509, 0.3405, 0.8509], [0.8509, 0.8509, 0.3405]], "magnetic_moment_mub_per_cell": 0.0, "e_form_ev_per_fu": -1.09, "volume_a3_per_atom": 28.51, "energy_ev_per_atom": -1.73}